The following is a PBE calculation of an optimized crystal structure of ErPuTlAu, from Alexandria via LeMat-Bulk.

The structure in extended XYZ format:
```
4
Lattice="0.000 3.712 3.712 3.712 0.000 3.712 3.712 3.712 0.000" Properties=species:S:1:pos:R:3 pbc="T T T"
Er 0.000 0.000 0.000
Pu 3.712 3.712 3.712
Tl 5.568 5.568 5.568
Au 1.856 1.856 1.856
```

Results
Its density of states at the Fermi level is 2.4574 states/eV/atom. The calculation puts the calculated formation energy at -330 meV/atom.